Entry 1:
Here is a geometry-optimized Pr3GaIr3 structure from the Alexandria database. Energies are from PBE-GGA.

Calculated values
**Energy of formation**: -35.6 kJ/mol of atoms
**Crystal system**: hexagonal
**Size of the total moment**: 0.00 μB/f.u.

Unit cell a=5.803 b=8.718 c=8.718 alpha=120.00 beta=90.00 gamma=90.00
Fractional positions:
Ir: 0.750 0.622 0.940
Pr: 0.250 0.300 0.350
Ga: 0.750 0.333 0.667
Pr: 0.750 0.350 0.050
Ir: 0.750 0.060 0.682
Ga: 0.250 0.667 0.333
Pr: 0.250 0.050 0.700
Ir: 0.250 0.940 0.318
Pr: 0.750 0.950 0.300
Pr: 0.750 0.700 0.650
Pr: 0.250 0.650 0.950
Ir: 0.250 0.682 0.622
Ir: 0.750 0.318 0.378
Ir: 0.250 0.378 0.060

Entry 2:
Here is a geometry-optimized Pr4GaIr structure from the Alexandria database. Energies are from PBE-GGA.

Calculated values
**Energy of formation**: -40.8 kJ/mol of atoms
**Crystal system**: monoclinic
**Size of the total moment**: 0.00 μB/f.u.

Unit cell a=6.272 b=8.244 c=8.354 alpha=113.90 beta=105.03 gamma=103.60
Fractional positions:
Ga: 0.622 0.372 0.745
Pr: 0.666 0.356 0.134
Pr: 0.334 0.644 0.866
Pr: 0.216 0.303 0.363
Pr: 0.647 0.060 0.363
Ir: 0.250 0.000 0.001
Pr: 0.784 0.697 0.637
Pr: 0.968 0.777 0.134
Pr: 0.032 0.223 0.866
Ir: 0.750 0.000 0.999
Pr: 0.353 0.940 0.637
Ga: 0.378 0.628 0.255

Entry 3:
Here is a geometry-optimized Pr3GaIr structure from the Alexandria database. Energies are from PBE-GGA.

Calculated values
**Energy of formation**: -43.7 kJ/mol of atoms
**Crystal system**: monoclinic
**Size of the total moment**: 0.00 μB/f.u.

Unit cell a=4.609 b=7.729 c=8.965 alpha=73.53 beta=75.10 gamma=72.65
Fractional positions:
Ga: 0.428 0.705 0.440
Pr: 0.591 0.753 0.065
Pr: 0.863 0.573 0.701
Pr: 0.837 0.006 0.320
Ir: 0.224 0.638 0.914
Pr: 0.409 0.247 0.935
Pr: 0.163 0.994 0.680
Pr: 0.137 0.427 0.299
Ga: 0.572 0.295 0.560
Ir: 0.776 0.362 0.086

Entry 4:
Here is a geometry-optimized Pr3GaIr8 structure from the Alexandria database. Energies are from PBE-GGA.

Calculated values
**Energy of formation**: -45.0 kJ/mol of atoms
**Crystal system**: trigonal
**Size of the total moment**: 0.00 μB/f.u.

Unit cell a=5.432 b=5.432 c=9.339 alpha=73.09 beta=73.09 gamma=60.00
Fractional positions:
Ir: 0.810 0.810 0.571
Ir: 0.561 0.063 0.814
Ir: 0.060 0.560 0.319
Ir: 0.310 0.310 0.069
Ir: 0.060 0.060 0.319
Ir: 0.561 0.561 0.814
Pr: 0.008 0.008 0.977
Pr: 0.624 0.624 0.129
Ir: 0.063 0.561 0.814
Ga: 0.138 0.138 0.586
Ir: 0.560 0.060 0.319
Pr: 0.495 0.495 0.515